LaTmPd3 | GGA-PBE | relaxed

Results
Calculated volume (Å³/f.u.): 110.0
Formation energy (eV per atom): -0.84
Magnetic moment (μB per formula unit): 0.00
ρ (g/cm³): 9.47

Lattice parameters (Å, degrees): 9.262 5.727 8.469 90.00 101.60 90.00
Atoms (fractional coordinates):
La (0.119, 0.092, 0.223)
La (0.119, 0.408, 0.723)
La (0.881, 0.592, 0.277)
La (0.881, 0.908, 0.777)
Tm (0.443, 0.725, 0.622)
Tm (0.443, 0.775, 0.122)
Tm (0.557, 0.225, 0.878)
Tm (0.557, 0.275, 0.378)
Pd (0.120, 0.657, 0.033)
Pd (0.120, 0.843, 0.533)
Pd (0.263, 0.546, 0.341)
Pd (0.263, 0.954, 0.841)
Pd (0.351, 0.206, 0.578)
Pd (0.351, 0.294, 0.078)
Pd (0.649, 0.706, 0.922)
Pd (0.649, 0.794, 0.422)
Pd (0.737, 0.046, 0.159)
Pd (0.737, 0.454, 0.659)
Pd (0.880, 0.157, 0.467)
Pd (0.880, 0.343, 0.967)